{"formula": "Na3MgBi2Se6", "functional": "PBE", "state": "relaxed", "lattice_angstrom": [[3.558, -6.168, 0.000], [3.558, 6.168, 0.000], [-2.382, 0.000, 7.111]], "species": ["Na", "Na", "Na", "Mg", "Bi", "Bi", "Se", "Se", "Se", "Se", "Se", "Se"], "fractional_positions": [[0.000, 0.000, 0.000], [0.323, 0.677, 0.000], [0.677, 0.323, 0.000], [0.500, 0.500, 0.500], [0.165, 0.835, 0.500], [0.835, 0.165, 0.500], [0.107, 0.424, 0.272], [0.260, 0.260, 0.732], [0.424, 0.107, 0.272], [0.576, 0.893, 0.728], [0.740, 0.740, 0.268], [0.893, 0.576, 0.728]], "sg": "C2/m", "formation_energy_uncorrected_ev_per_atom": -0.8060, "dft_energy_ev_per_cell": -43.89, "m_tot_mub_per_fu": 0.00}